# K2InCu (GGA-PBEsol, relaxed)
data_K2InCu
_chemical_formula_sum 'K2 In1 Cu1'
_cell_length_a 4.267
_cell_length_b 4.281
_cell_length_c 6.847
_cell_angle_alpha 90.00
_cell_angle_beta 90.00
_cell_angle_gamma 90.00
_space_group_name_H-M_alt 'P 1'
_space_group_IT_number 1
_space_group_name_Hall 'P 1'
loop_
_atom_site_label
_atom_site_type_symbol
_atom_site_fract_x
_atom_site_fract_y
_atom_site_fract_z
K1 K 0.000 0.000 0.232
K2 K 0.000 0.000 0.768
In1 In 0.500 0.500 0.500
Cu1 Cu 0.500 0.500 0.000
# - E_tot: -2.028 eV/atom
# - Space-group type: Pmmm (47)
# - DFT formation energy: 368 meV/atom